Entry 1:
Below is crystalline ScV2Pb at its relaxed geometry, with properties calculated at the GGA-PBE level.

Lattice parameters (Å, degrees): 6.0275 6.0275 6.0275 102.61 102.61 124.29
Atoms (fractional coordinates):
1 Sc 0.0000 0.0000 0.0000
2 Sc 0.7500 0.2500 0.5000
3 V 0.1317 0.6250 0.0067
4 V 0.3750 0.3817 0.5067
5 V 0.6183 0.1250 0.9933
6 V 0.8750 0.8683 0.4933
7 Pb 0.2500 0.7500 0.5000
8 Pb 0.5000 0.5000 0.0000

Summary:
* E_form: 0.809 eV/atom
* mass density: 7.351 Mg/m³

Entry 2:
Below is crystalline ScPbW2 at its relaxed geometry, with properties calculated at the GGA-PBE level.

Lattice parameters (Å, degrees): 5.2873 5.2873 4.9918 100.19 100.19 36.13
Atoms (fractional coordinates):
1 Sc 0.0000 0.0000 0.0000
2 Pb 0.5000 0.5000 0.5000
3 W 0.2492 0.2492 0.8038
4 W 0.7508 0.7508 0.1962

Summary:
* E_form: 0.515 eV/atom
* mass density: 12.731 Mg/m³

Entry 3:
Below is crystalline Sc2PbW at its relaxed geometry, with properties calculated at the GGA-PBE level.

Lattice parameters (Å, degrees): 3.5099 3.5099 6.8264 90.00 90.00 90.00
Atoms (fractional coordinates):
1 Sc 0.0000 0.0000 0.2209
2 Sc 0.0000 0.0000 0.7791
3 Pb 0.5000 0.5000 0.5000
4 W 0.5000 0.5000 0.0000

Summary:
* E_form: 0.011 eV/atom
* mass density: 9.496 Mg/m³

Entry 4:
Below is crystalline ScPb2W at its relaxed geometry, with properties calculated at the GGA-PBE level.

Lattice parameters (Å, degrees): 5.9347 5.9347 5.1942 102.93 102.93 30.74
Atoms (fractional coordinates):
1 Sc 0.0000 0.0000 0.0000
2 Pb 0.2342 0.2342 0.7641
3 Pb 0.4551 0.4551 0.4640
4 W 0.7080 0.7080 0.2427

Summary:
* E_form: 0.502 eV/atom
* ΔE to the lowest computed polymorph: 141 meV/atom
* mass density: 11.742 Mg/m³

Entry 5:
Below is crystalline ScPb2W at its relaxed geometry, with properties calculated at the GGA-PBE level.

Lattice parameters (Å, degrees): 6.4015 6.4015 6.4015 103.65 103.65 121.86
Atoms (fractional coordinates):
1 Sc 0.0000 0.0000 0.0000
2 Sc 0.7500 0.2500 0.5000
3 Pb 0.1417 0.6250 0.0167
4 Pb 0.3750 0.3917 0.5167
5 Pb 0.6083 0.1250 0.9833
6 Pb 0.8750 0.8583 0.4833
7 W 0.2500 0.7500 0.5000
8 W 0.5000 0.5000 0.0000

Summary:
* E_form: 0.714 eV/atom
* ΔE to the lowest computed polymorph: 353 meV/atom
* mass density: 10.969 Mg/m³

Entry 6:
Below is crystalline Sc3PbW at its relaxed geometry, with properties calculated at the GGA-PBE level.

Lattice parameters (Å, degrees): 5.0990 5.0990 5.0990 90.00 90.00 90.00
Atoms (fractional coordinates):
1 Sc 0.0000 0.0000 0.5000
2 Sc 0.0000 0.5000 0.0000
3 Sc 0.5000 0.0000 0.0000
4 Pb 0.5000 0.5000 0.5000
5 W 0.0000 0.0000 0.0000

Summary:
* E_form: 0.455 eV/atom
* ΔE to the lowest computed polymorph: 0 meV/atom
* mass density: 6.587 Mg/m³

Entry 7:
Below is crystalline ScPb2W at its relaxed geometry, with properties calculated at the GGA-PBE level.

Lattice parameters (Å, degrees): 3.6226 4.6644 5.2597 90.00 90.00 90.00
Atoms (fractional coordinates):
1 Sc 0.0000 0.0000 0.0000
2 Pb 0.0000 0.5000 0.5000
3 Pb 0.5000 0.5000 0.0000
4 W 0.5000 0.0000 0.5000

Summary:
* E_form: 0.513 eV/atom
* ΔE to the lowest computed polymorph: 152 meV/atom
* mass density: 12.018 Mg/m³

Entry 8:
Below is crystalline Sc2PbW at its relaxed geometry, with properties calculated at the GGA-PBE level.

Lattice parameters (Å, degrees): 10.5314 10.5314 10.5314 156.72 156.72 33.16
Atoms (fractional coordinates):
1 Sc 0.1115 0.6250 0.9865
2 Sc 0.3750 0.3615 0.4865
3 Sc 0.6385 0.1250 0.0135
4 Sc 0.8750 0.8885 0.5135
5 Pb 0.2500 0.7500 0.5000
6 Pb 0.5000 0.5000 0.0000
7 W 0.0000 0.0000 0.0000
8 W 0.7500 0.2500 0.5000

Summary:
* E_form: 0.786 eV/atom
* mass density: 8.763 Mg/m³

Entry 9:
Below is crystalline Sc2PbW at its relaxed geometry, with properties calculated at the GGA-PBE level.

Lattice parameters (Å, degrees): 4.8788 4.8788 4.8788 60.00 60.00 60.00
Atoms (fractional coordinates):
1 Sc 0.0000 0.0000 0.0000
2 Sc 0.2500 0.2500 0.2500
3 Pb 0.7500 0.7500 0.7500
4 W 0.5000 0.5000 0.5000

Summary:
* E_form: 0.314 eV/atom
* mass density: 9.726 Mg/m³

Entry 10:
Below is crystalline ScPb2W at its relaxed geometry, with properties calculated at the GGA-PBE level.

Lattice parameters (Å, degrees): 5.8893 5.8893 5.8893 143.94 131.51 61.89
Atoms (fractional coordinates):
1 Sc 0.0000 0.0000 0.0000
2 Pb 0.4594 0.4594 0.0000
3 Pb 0.7312 0.2312 0.5000
4 W 0.2194 0.7194 0.5000

Summary:
* E_form: 0.497 eV/atom
* ΔE to the lowest computed polymorph: 136 meV/atom
* mass density: 11.992 Mg/m³

Entry 11:
Below is crystalline Sc2PbW at its relaxed geometry, with properties calculated at the GGA-PBE level.

Lattice parameters (Å, degrees): 9.9081 9.9081 9.9081 18.76 18.76 18.76
Atoms (fractional coordinates):
1 Sc 0.2406 0.2406 0.2406
2 Sc 0.7594 0.7594 0.7594
3 Pb 0.0000 0.0000 0.0000
4 W 0.5000 0.5000 0.5000

Summary:
* E_form: 0.176 eV/atom
* mass density: 9.082 Mg/m³

Entry 12:
Below is crystalline ScPbW2 at its relaxed geometry, with properties calculated at the GGA-PBE level.

Lattice parameters (Å, degrees): 5.6978 5.6978 2.9657 102.38 102.38 119.45
Atoms (fractional coordinates):
1 Sc 0.0000 0.0000 0.0000
2 Pb 0.5000 0.5000 0.0000
3 W 0.0000 0.5000 0.5000
4 W 0.5000 0.0000 0.5000

Summary:
* E_form: 0.590 eV/atom
* mass density: 13.565 Mg/m³

Entry 13:
Below is crystalline ScPbW2 at its relaxed geometry, with properties calculated at the GGA-PBE level.

Lattice parameters (Å, degrees): 10.1586 10.1586 10.1586 17.10 17.10 17.10
Atoms (fractional coordinates):
1 Sc 0.0000 0.0000 0.0000
2 Pb 0.5000 0.5000 0.5000
3 W 0.2530 0.2530 0.2530
4 W 0.7470 0.7470 0.7470

Summary:
* E_form: 0.825 eV/atom
* mass density: 13.020 Mg/m³

Entry 14:
Below is crystalline ScPbW2 at its relaxed geometry, with properties calculated at the GGA-PBE level.

Lattice parameters (Å, degrees): 9.4199 9.4199 9.4199 19.56 19.56 19.56
Atoms (fractional coordinates):
1 Sc 0.0000 0.0000 0.0000
2 Pb 0.2357 0.2357 0.2357
3 W 0.4807 0.4807 0.4807
4 W 0.7477 0.7477 0.7477

Summary:
* E_form: 0.401 eV/atom
* mass density: 12.560 Mg/m³

Entry 15:
Below is crystalline ScPbW2 at its relaxed geometry, with properties calculated at the GGA-PBE level.

Lattice parameters (Å, degrees): 2.9525 4.9041 5.4637 90.00 96.21 90.00
Atoms (fractional coordinates):
1 Sc 0.0000 0.0000 0.0000
2 Pb 0.5000 0.0000 0.5000
3 W 0.3276 0.5000 0.7822
4 W 0.6724 0.5000 0.2178

Summary:
* E_form: 0.504 eV/atom
* mass density: 13.087 Mg/m³

Entry 16:
Below is crystalline ScPbW at its relaxed geometry, with properties calculated at the GGA-PBE level.

Lattice parameters (Å, degrees): 7.1677 7.1677 7.1677 155.30 155.30 35.21
Atoms (fractional coordinates):
1 Sc 0.0000 0.0000 0.0000
2 Pb 0.6913 0.6913 0.0000
3 W 0.3553 0.3553 0.0000

Summary:
* E_form: 0.472 eV/atom
* ΔE to the lowest computed polymorph: 114 meV/atom
* mass density: 11.275 Mg/m³

Entry 17:
Below is crystalline ScPbW2 at its relaxed geometry, with properties calculated at the GGA-PBE level.

Lattice parameters (Å, degrees): 5.5674 5.5674 5.5674 143.90 131.52 61.91
Atoms (fractional coordinates):
1 Sc 0.0000 0.0000 0.0000
2 Pb 0.5000 0.5000 0.0000
3 W 0.2448 0.7448 0.5000
4 W 0.7552 0.2552 0.5000

Summary:
* E_form: 0.501 eV/atom
* mass density: 13.667 Mg/m³

Entry 18:
Below is crystalline ScPb2W at its relaxed geometry, with properties calculated at the GGA-PBE level.

Lattice parameters (Å, degrees): 3.2386 4.9529 5.8879 90.00 104.89 90.00
Atoms (fractional coordinates):
1 Sc 0.0000 0.0000 0.0000
2 Pb 0.4346 0.5000 0.7714
3 Pb 0.7980 0.0000 0.4571
4 W 0.3667 0.5000 0.2438

Summary:
* E_form: 0.520 eV/atom
* ΔE to the lowest computed polymorph: 158 meV/atom
* mass density: 11.701 Mg/m³

Entry 19:
Below is crystalline Sc2PbW at its relaxed geometry, with properties calculated at the GGA-PBE level.

Lattice parameters (Å, degrees): 3.6763 3.6763 6.2574 90.00 90.00 90.00
Atoms (fractional coordinates):
1 Sc 0.0000 0.0000 0.0000
2 Sc 0.5000 0.5000 0.2714
3 Pb 0.5000 0.5000 0.7368
4 W 0.0000 0.0000 0.4738

Summary:
* E_form: 0.270 eV/atom
* mass density: 9.443 Mg/m³

Entry 20:
Below is crystalline Sc2PbW at its relaxed geometry, with properties calculated at the GGA-PBE level.

Lattice parameters (Å, degrees): 3.1239 3.1239 8.9890 90.00 90.00 99.80
Atoms (fractional coordinates):
1 Sc 0.0000 0.0000 0.2204
2 Sc 0.0000 0.0000 0.7796
3 Pb 0.5000 0.5000 0.5000
4 W 0.5000 0.5000 0.0000

Summary:
* E_form: 0.072 eV/atom
* mass density: 9.239 Mg/m³

Entry 21:
Below is crystalline ScPb2W at its relaxed geometry, with properties calculated at the GGA-PBE level.

Lattice parameters (Å, degrees): 4.7192 4.7192 3.9160 90.00 90.00 90.00
Atoms (fractional coordinates):
1 Sc 0.0000 0.0000 0.0000
2 Pb 0.0000 0.5000 0.5000
3 Pb 0.5000 0.0000 0.5000
4 W 0.5000 0.5000 0.0000

Summary:
* E_form: 0.559 eV/atom
* ΔE to the lowest computed polymorph: 198 meV/atom
* mass density: 12.247 Mg/m³

Entry 22:
Below is crystalline ScPb4W at its relaxed geometry, with properties calculated at the GGA-PBE level.

Lattice parameters (Å, degrees): 6.2371 6.2371 6.2371 60.00 60.00 60.00
Atoms (fractional coordinates):
1 Sc 0.0000 0.0000 0.0000
2 Pb 0.3753 0.3753 0.3753
3 Pb 0.3753 0.3753 0.8742
4 Pb 0.3753 0.8742 0.3753
5 Pb 0.8742 0.3753 0.3753
6 W 0.7500 0.7500 0.7500

Summary:
* E_form: 1.016 eV/atom
* mass density: 10.236 Mg/m³

Entry 23:
Below is crystalline ScPbW2 at its relaxed geometry, with properties calculated at the GGA-PBE level.

Lattice parameters (Å, degrees): 3.0422 4.2735 6.0654 90.00 95.42 90.00
Atoms (fractional coordinates):
1 Sc 0.0000 0.0000 0.0000
2 Pb 0.4292 0.5000 0.7280
3 W 0.4712 0.5000 0.2420
4 W 0.8118 0.0000 0.4380

Summary:
* E_form: 0.409 eV/atom
* mass density: 13.111 Mg/m³

Entry 24:
Below is crystalline ScPb2W at its relaxed geometry, with properties calculated at the GGA-PBE level.

Lattice parameters (Å, degrees): 4.9590 4.9590 4.9590 60.00 60.00 60.00
Atoms (fractional coordinates):
1 Sc 0.0000 0.0000 0.0000
2 Pb 0.2500 0.2500 0.2500
3 Pb 0.7500 0.7500 0.7500
4 W 0.5000 0.5000 0.5000

Summary:
* E_form: 0.487 eV/atom
* ΔE to the lowest computed polymorph: 126 meV/atom
* mass density: 12.385 Mg/m³

Entry 25:
Below is crystalline ScPb2W at its relaxed geometry, with properties calculated at the GGA-PBE level.

Lattice parameters (Å, degrees): 3.0756 3.0756 11.0027 90.00 90.00 105.40
Atoms (fractional coordinates):
1 Sc 0.0000 0.0000 0.0000
2 Pb 0.0000 0.0000 0.5920
3 Pb 0.5000 0.5000 0.2478
4 W 0.5000 0.5000 0.8082

Summary:
* E_form: 0.361 eV/atom
* ΔE to the lowest computed polymorph: 0 meV/atom
* mass density: 10.644 Mg/m³

Entry 26:
Below is crystalline ScPb2W at its relaxed geometry, with properties calculated at the GGA-PBE level.

Lattice parameters (Å, degrees): 3.1925 4.8713 5.7990 90.00 93.01 90.00
Atoms (fractional coordinates):
1 Sc 0.0000 0.0000 0.0000
2 Pb 0.3090 0.5000 0.7473
3 Pb 0.6910 0.5000 0.2527
4 W 0.5000 0.0000 0.5000

Summary:
* E_form: 0.496 eV/atom
* ΔE to the lowest computed polymorph: 135 meV/atom
* mass density: 11.860 Mg/m³

Entry 27:
Below is crystalline ScPb2W at its relaxed geometry, with properties calculated at the GGA-PBE level.

Lattice parameters (Å, degrees): 3.2168 3.2168 9.6799 90.00 90.00 115.18
Atoms (fractional coordinates):
1 Sc 0.0000 0.0000 0.0000
2 Pb 0.5000 0.5000 0.2606
3 Pb 0.5000 0.5000 0.7394
4 W 0.0000 0.0000 0.5000

Summary:
* E_form: 0.561 eV/atom
* ΔE to the lowest computed polymorph: 200 meV/atom
* mass density: 11.782 Mg/m³

Entry 28:
Below is crystalline Sc2PbW at its relaxed geometry, with properties calculated at the GGA-PBE level.

Lattice parameters (Å, degrees): 3.0951 3.0951 9.5823 90.00 90.00 107.29
Atoms (fractional coordinates):
1 Sc 0.0000 0.0000 0.0000
2 Sc 0.5000 0.5000 0.2705
3 Pb 0.0000 0.0000 0.5372
4 W 0.5000 0.5000 0.7732

Summary:
* E_form: 0.387 eV/atom
* mass density: 9.112 Mg/m³

Entry 29:
Below is crystalline ScPbW2 at its relaxed geometry, with properties calculated at the GGA-PBE level.

Lattice parameters (Å, degrees): 6.1557 6.1557 6.1557 101.94 101.94 125.88
Atoms (fractional coordinates):
1 Sc 0.0000 0.0000 0.0000
2 Sc 0.7500 0.2500 0.5000
3 Pb 0.2500 0.7500 0.5000
4 Pb 0.5000 0.5000 0.0000
5 W 0.1333 0.1250 0.5083
6 W 0.3750 0.8667 0.9917
7 W 0.6167 0.6250 0.4917
8 W 0.8750 0.3833 0.0083

Summary:
* E_form: 1.309 eV/atom
* mass density: 12.231 Mg/m³

Entry 30:
Below is crystalline ScPb2W at its relaxed geometry, with properties calculated at the GGA-PBE level.

Lattice parameters (Å, degrees): 5.1569 5.1569 5.1870 107.45 107.45 43.25
Atoms (fractional coordinates):
1 Sc 0.0000 0.0000 0.0000
2 Pb 0.2411 0.2411 0.7315
3 Pb 0.7589 0.7589 0.2685
4 W 0.5000 0.5000 0.5000

Summary:
* E_form: 0.480 eV/atom
* ΔE to the lowest computed polymorph: 118 meV/atom
* mass density: 11.940 Mg/m³